# 1
Compound: CaTl2Hg
Source: Alexandria via LeMat-Bulk
Functional: meta-GGA SCAN
Structure: single point on PBEsol structure

Cell and atoms, written as POSCAR:
```
CaTl2Hg
1.0
4.740 0.000 0.000
0.000 4.754 0.000
0.000 0.000 9.163
Ca Tl Hg
2 4 2
Cartesian
0.000 0.000 0.000
2.370 2.377 4.582
0.000 0.000 4.577
0.000 2.377 2.288
2.370 0.000 6.869
2.370 2.377 9.159
0.000 2.377 6.871
2.370 0.000 2.289
```

## Properties
The total energy is -55.99 eV per atom.


# 2
Compound: CaTlHg2
Source: Alexandria via LeMat-Bulk
Functional: meta-GGA SCAN
Structure: single point on PBEsol structure

Cell and atoms, written as POSCAR:
```
CaTlHg2
1.0
4.280 0.000 0.000
0.000 4.826 0.000
0.000 0.000 9.644
Ca Tl Hg
2 2 4
Cartesian
0.000 0.000 0.000
2.140 2.413 4.822
0.000 2.413 2.292
2.140 0.000 7.114
0.000 0.000 4.736
0.000 2.413 7.277
2.140 0.000 2.455
2.140 2.413 9.558
```

## Properties
The total energy is -54.98 eV per atom.


# 3
Compound: CaTlHg2
Source: Alexandria via LeMat-Bulk
Functional: meta-GGA SCAN
Structure: single point on PBEsol structure

Cell and atoms, written as POSCAR:
```
CaTlHg2
1.0
7.268 0.000 0.000
0.000 7.268 0.000
0.000 0.000 7.268
Ca Tl Hg
4 4 8
Cartesian
0.000 0.000 0.000
0.000 3.634 3.634
3.634 0.000 3.634
3.634 3.634 0.000
1.817 1.817 1.817
1.817 5.451 5.451
5.451 1.817 5.451
5.451 5.451 1.817
0.000 0.000 3.634
0.000 3.634 0.000
1.817 1.817 5.451
1.817 5.451 1.817
3.634 0.000 0.000
3.634 3.634 3.634
5.451 1.817 1.817
5.451 5.451 5.451
```

## Properties
The total energy is -54.95 eV per atom.


# 4
Compound: CaTlHg
Source: Alexandria via LeMat-Bulk
Functional: meta-GGA SCAN
Structure: single point on PBEsol structure

Cell and atoms, written as POSCAR:
```
CaTlHg
1.0
4.979 0.000 0.000
-2.490 4.312 0.000
0.000 0.000 3.572
Ca Tl Hg
1 1 1
Cartesian
0.000 0.000 0.000
2.490 1.437 1.786
0.000 2.875 1.786
```

## Properties
The total energy is -50.58 eV per atom.


# 5
Compound: CaTl2Hg
Source: Alexandria via LeMat-Bulk
Functional: meta-GGA SCAN
Structure: single point on PBEsol structure

Cell and atoms, written as POSCAR:
```
CaTl2Hg
1.0
4.586 0.000 0.000
0.000 4.586 0.000
0.000 0.000 9.943
Ca Tl Hg
2 4 2
Cartesian
0.000 0.000 0.000
2.293 2.293 4.972
0.000 2.293 2.486
0.000 2.293 7.458
2.293 0.000 2.486
2.293 0.000 7.458
0.000 0.000 4.972
2.293 2.293 0.000
```

## Properties
The total energy is -55.97 eV per atom.


# 6
Compound: CaTl2Hg
Source: Alexandria via LeMat-Bulk
Functional: meta-GGA SCAN
Structure: single point on PBEsol structure

Cell and atoms, written as POSCAR:
```
CaTl2Hg
1.0
3.764 0.000 0.000
0.000 3.764 0.000
0.000 0.000 7.399
Ca Tl Hg
1 2 1
Cartesian
0.000 0.000 0.000
0.000 0.000 3.486
1.882 1.882 5.385
1.882 1.882 1.719
```

## Properties
The total energy is -55.97 eV per atom.


# 7
Compound: CaTlHg
Source: Alexandria via LeMat-Bulk
Functional: meta-GGA SCAN
Structure: single point on PBEsol structure

Cell and atoms, written as POSCAR:
```
CaTlHg
1.0
5.241 0.000 0.000
0.000 5.247 0.000
-2.608 0.000 5.637
Ca Tl Hg
2 2 2
Cartesian
0.000 0.000 0.000
2.620 2.623 0.000
0.009 2.623 2.089
2.629 0.000 2.089
0.008 0.000 3.854
2.628 2.623 3.854
```

## Properties
The total energy is -50.54 eV per atom.


# 8
Compound: CaTlHg2
Source: Alexandria via LeMat-Bulk
Functional: meta-GGA SCAN
Structure: single point on PBEsol structure

Cell and atoms, written as POSCAR:
```
CaTlHg2
1.0
3.831 0.000 0.000
0.000 3.831 0.000
0.000 0.000 6.814
Ca Tl Hg
1 1 2
Cartesian
0.000 0.000 0.000
0.000 0.000 3.407
1.916 1.916 1.680
1.916 1.916 5.134
```

## Properties
The total energy is -55.00 eV per atom.